This record from Alexandria describes a geometry-optimized Pb4Se2Cl5 structure. The functional is PBE.

Summary:
* symmetry: P-1, No. 2

Unit cell a=4.391 b=10.848 c=9.514 alpha=84.73 beta=103.31 gamma=90.02
Sites, in units of the cell vectors:
Pb 0.645 0.556 0.290
Pb 0.979 0.800 0.955
Pb 0.355 0.444 0.710
Pb 0.021 0.200 0.045
Se 0.477 0.627 0.952
Se 0.523 0.373 0.048
Cl 0.126 0.750 0.251
Cl 0.874 0.250 0.749
Cl 0.198 0.392 0.397
Cl 0.500 0.000 0.000
Cl 0.802 0.608 0.603

=====

This record from Alexandria describes a geometry-optimized Pb4SeCl structure. The functional is PBE.

Summary:
* symmetry: F-43m, No. 216

Unit cell a=6.437 b=6.437 c=6.437 alpha=60.00 beta=60.00 gamma=60.00
Sites, in units of the cell vectors:
Pb 0.875 0.375 0.375
Pb 0.375 0.375 0.875
Pb 0.375 0.875 0.375
Pb 0.375 0.375 0.375
Se 0.750 0.750 0.750
Cl 0.000 0.000 0.000

=====

Number 1: formation energy (no corrections) -0.856 eV/atom, VASP energy -40.5 eV per cell. Number 2: formation energy (no corrections) 0.116 eV/atom, VASP energy -19.5 eV per cell.